Record 1
Compound: GaHgPCl2
Source: Alexandria via LeMat-Bulk
Functional: GGA-PBE
Structure: optimized geometry

Summary:
- Energy above the lowest structure with this stoichiometry: 215 meV/atom
- DOS(E_F): 1.3 states/eV/f.u.

a b c (Å): 5.631 5.631 4.931
angles (deg): 90.00 90.00 90.00
Space group P4/mmm (No. 123)
Unique sites:
Ga  0.000  0.000  0.000 [1 per cell]
Hg  0.500  0.500  0.500 [1 per cell]
P  0.500  0.500  0.000 [1 per cell]
Cl  0.000  0.500  0.500 [2 per cell]


Record 2
Compound: Sm4Tm3Sc4
Source: Alexandria via LeMat-Bulk
Functional: GGA-PBE
Structure: optimized geometry

Summary:
- Formation energy: 0.079 eV/atom
- DOS(E_F): 20.1 states/eV/f.u.

a b c (Å): 3.421 5.458 17.443
angles (deg): 98.99 95.62 90.01
Space group P-1 (No. 2)
Unique sites:
Sm  0.090  0.091  0.181 [2 per cell]
Sm  0.231  0.731  0.462 [2 per cell]
Tm  0.365  0.364  0.729 [2 per cell]
Tm  0.500  0.000  0.000 [1 per cell]
Sc  0.043  0.544  0.088 [2 per cell]
Sc  0.179  0.181  0.361 [2 per cell]


Record 3
Compound: AcHoBiTe
Source: Alexandria via LeMat-Bulk
Functional: GGA-PBE
Structure: optimized geometry

Summary:
- Raw total energy: -4.9821 eV/atom
- DOS(E_F): 3.2 states/eV/f.u.

a b c (Å): 4.4737 4.4737 24.3776
angles (deg): 90.00 90.00 120.00
Space group R3m (No. 160, hexagonal axes)
Unique sites:
Ac  0.0000  0.0000  0.0000 [3 per cell]
Ho  0.0000  0.0000  0.8257 [3 per cell]
Bi  0.0000  0.0000  0.4201 [3 per cell]
Te  0.0000  0.0000  0.5733 [3 per cell]


Record 4
Compound: Ac3B2AsRh9
Source: Alexandria via LeMat-Bulk
Functional: GGA-PBE
Structure: optimized geometry

Summary:
- Formation energy: -0.633 eV/atom
- DOS(E_F): 11.0 states/eV/f.u.

a b c (Å): 6.2834 6.2834 7.7441
angles (deg): 90.00 90.00 120.00
Space group P-3m1 (No. 164)
Unique sites:
Ac  0.0000  0.0000  0.0000 [1 per cell]
Ac  0.3333  0.6667  0.6676 [2 per cell]
B  0.3333  0.6667  0.1447 [2 per cell]
As  0.0000  0.0000  0.5000 [1 per cell]
Rh  0.0000  0.5000  0.0000 [3 per cell]
Rh  0.1789  0.3578  0.3154 [6 per cell]


Record 5
Compound: LaSbNO2
Source: Alexandria via LeMat-Bulk
Functional: GGA-PBE
Structure: optimized geometry

Summary:
- Raw total energy: -6.8208 eV/atom
- DOS(E_F): 3.1 states/eV/f.u.

a b c (Å): 4.174 4.174 4.244
angles (deg): 90.00 90.00 90.00
Space group P4/mmm (No. 123)
Unique sites:
La  0.000  0.000  0.000 [1 per cell]
Sb  0.500  0.500  0.500 [1 per cell]
N  0.500  0.500  0.000 [1 per cell]
O  0.000  0.500  0.500 [2 per cell]


Record 6
Compound: TaBr2Cl8
Source: Alexandria via LeMat-Bulk
Functional: GGA-PBE
Structure: optimized geometry

Summary:
- Raw total energy: -3.4216 eV/atom
- DOS(E_F): 5.3 states/eV/f.u.

a b c (Å): 15.797 6.993 7.517
angles (deg): 90.00 111.47 90.00
Space group C2/m (No. 12)
Unique sites:
Ta  0.000  0.000  0.000 [2 per cell]
Br  0.243  0.500  0.535 [4 per cell]
Cl  0.078  0.000  0.350 [4 per cell]
Cl  0.094  0.500  0.439 [4 per cell]
Cl  0.099  0.235  0.969 [8 per cell]


Please write out number 3 again, unchanged.
Compound: AcHoBiTe
Source: Alexandria via LeMat-Bulk
Functional: GGA-PBE
Structure: optimized geometry

Summary:
- Raw total energy: -4.9821 eV/atom
- DOS(E_F): 3.2 states/eV/f.u.

a b c (Å): 4.4737 4.4737 24.3776
angles (deg): 90.00 90.00 120.00
Space group R3m (No. 160, hexagonal axes)
Unique sites:
Ac  0.0000  0.0000  0.0000 [3 per cell]
Ho  0.0000  0.0000  0.8257 [3 per cell]
Bi  0.0000  0.0000  0.4201 [3 per cell]
Te  0.0000  0.0000  0.5733 [3 per cell]